A plane-wave DFT calculation with PBE was carried out for crystalline AgPW2 at its relaxed geometry. Values from VASP.

Cell and atoms, written as Quantum ESPRESSO input:
```
&SYSTEM
  ibrav = 0, nat = 4, ntyp = 3
/
ATOMIC_SPECIES
P 30.97 P.upf
W 183.84 W.upf
Ag 107.87 Ag.upf
CELL_PARAMETERS angstrom
4.420 0.000 0.000
0.000 2.911 0.018
0.000 1.432 5.056
ATOMIC_POSITIONS angstrom
P 2.210 3.804 4.077
W 0.000 3.791 4.952
W 2.210 0.907 1.098
Ag 0.000 2.355 2.557
```

Output
DOS at the Fermi energy	1.6	states/eV per cell
energy of formation from the pure elements	1.7	eV per formula unit
space group	Pm
crystal system	monoclinic
distance to the lowest polymorph of the same formula	60	kJ/mol of formula units

A plane-wave DFT calculation with PBE was carried out for crystalline CdFe2Tc at its relaxed geometry. Values from VASP.

Cell and atoms, written as Quantum ESPRESSO input:
```
&SYSTEM
  ibrav = 0, nat = 4, ntyp = 3
/
ATOMIC_SPECIES
Tc 98.00 Tc.upf
Cd 112.41 Cd.upf
Fe 55.84 Fe.upf
CELL_PARAMETERS angstrom
4.732 0.016 0.000
1.597 4.454 0.000
-3.165 -2.235 2.717
ATOMIC_POSITIONS angstrom
Tc 3.165 2.235 0.000
Cd 2.366 0.008 1.358
Fe 0.799 2.227 1.358
Fe 0.000 0.000 0.000
```

Output
DOS at the Fermi energy	4.6	states/eV per cell
energy of formation from the pure elements	1.9	eV per formula unit
space group	I-4m2
crystal system	tetragonal

A plane-wave DFT calculation with PBE was carried out for crystalline Na2SnPb at its relaxed geometry. Values from VASP.

Cell and atoms, written as Quantum ESPRESSO input:
```
&SYSTEM
  ibrav = 0, nat = 4, ntyp = 3
/
ATOMIC_SPECIES
Pb 207.20 Pb.upf
Na 22.99 Na.upf
Sn 118.71 Sn.upf
CELL_PARAMETERS angstrom
-2.324 -0.261 2.628
-3.379 -0.683 -0.701
0.068 -10.782 1.344
ATOMIC_POSITIONS angstrom
Pb -2.820 -5.849 1.634
Na -0.414 -8.216 1.172
Na -1.418 -2.883 0.814
Sn -3.800 -0.641 1.285
```

Output
DOS at the Fermi energy	2.1	states/eV per cell
energy of formation from the pure elements	-0.3	eV per formula unit
space group	R3m
crystal system	trigonal
distance to the lowest polymorph of the same formula	24	kJ/mol of formula units

A plane-wave DFT calculation with PBE was carried out for crystalline TiNb4W5 at its relaxed geometry. Values from VASP.

Cell and atoms, written as Quantum ESPRESSO input:
```
&SYSTEM
  ibrav = 0, nat = 10, ntyp = 3
/
ATOMIC_SPECIES
W 183.84 W.upf
Nb 92.91 Nb.upf
Ti 47.87 Ti.upf
CELL_PARAMETERS angstrom
4.437 0.000 -1.230
-0.856 6.061 -3.088
-0.516 0.156 6.754
ATOMIC_POSITIONS angstrom
W 1.790 3.030 -2.159
W 2.379 5.400 -0.034
W 3.192 1.980 2.899
W -0.128 4.237 -0.463
W 0.685 0.816 2.470
Nb 2.491 2.594 0.368
Nb -0.037 1.430 -0.135
Nb 0.574 3.623 2.069
Nb 3.102 4.787 2.571
Ti 2.218 0.000 -0.615
```

Output
DOS at the Fermi energy	8.8	states/eV per cell
energy of formation from the pure elements	4.2	eV per formula unit
space group	C2/m
crystal system	monoclinic
distance to the lowest polymorph of the same formula	422	kJ/mol of formula units

| no. | total magnetic moment (μB/f.u.) |
| --- | --- |
| 1 | 0.0 |
| 2 | 4.5 |
| 3 | 0.0 |
| 4 | 0.0 |